VASP calculation (PBE) on an optimized crystal structure of Y3Ge2Pt4.

Unit cell a=10.444 b=4.381 c=8.653 alpha=90.00 beta=113.56 gamma=90.00
Space group C2/m (No. 12)
Inequivalent atoms, fractional coordinates:
Y: 0.000 0.000 0.000
Y: 0.140 0.500 0.691
Ge: 0.158 0.500 0.324
Pt: 0.089 0.000 0.411
Pt: 0.219 0.500 0.074

Output
Final energy in eV/atom: -6.984
Energy relative to the elements in kJ/mol of atoms: -107.9